First-principles (PBE) data for a relaxed structure of RbCdInRh2, as listed in Alexandria.

Computed properties:
**Theoretical density**: 5.9 Mg/m³
**Electronic total energy**: -10.75 eV for the cell shown

Cell: 4.9724 5.8709 4.9724 Å, 90.00 90.00 90.00°
Closest atoms and distances in Å follow each position.
Sites, in units of the cell vectors:
Cd: 0.5000 0.5000 0.5000  4 In 3.52, 8 Rh 3.85
In: 0.0000 0.5000 0.0000  2 Rb 2.94
Rh: 0.5000 0.0000 0.0000  2 Rb 2.49
Rh: 0.0000 0.0000 0.5000  2 Rb 2.49
Rb: 0.0000 0.0000 0.0000  4 Rh 2.49